Crystalline SiTe3As at its relaxed geometry. Source: Alexandria, functional PBE.

Cell: 5.397 5.397 5.397 Å, 90.00 90.00 90.00°
Positions (direct):
As 0.000 0.000 0.000
Te 0.000 0.500 0.000
Te 0.000 0.000 0.500
Te 0.500 0.000 0.000
Si 0.500 0.500 0.500

Computed properties:
Distance to the lowest polymorph of the same formula   0.110 eV/atom
ρ   5.13 g cm⁻³
E   -15.570 eV/cell
Raw formation energy   785 meV/atom
Magnetization   0.000 Bohr magnetons per cell